{
  "formula": "HfAsAuO",
  "functional": "GGA-PBE",
  "state": "optimized geometry",
  "energy_ev_per_cell": -51.25,
  "relative_energy_ev_per_fu": 2.49,
  "lattice_angstrom": [[5.4437, 0.0000, 0.0000], [0.0000, 5.4437, 0.0000], [0.0000, 0.0000, 4.6456]],
  "species": ["As", "As", "Au", "Au", "O", "O", "Hf", "Hf"],
  "fractional_positions": [[0.5000, 0.0000, 0.6236], [0.0000, 0.5000, 0.3764], [0.0000, 0.5000, 0.8720], [0.5000, 0.0000, 0.1280], [0.5000, 0.5000, 0.0000], [0.0000, 0.0000, 0.0000], [0.0000, 0.0000, 0.5000], [0.5000, 0.5000, 0.5000]]
}